This record from Alexandria via LeMat-Bulk describes a geometry-optimized InNiBr structure. The functional is GGA-PBE.

## Properties
Energy above the most stable polymorph in this dataset ... 0.0 meV/atom
Crystal system ... trigonal
E_form (uncorrected) ... -6.2 kJ/mol of atoms

The structure in CIF format:
```
data_InNiBr
_cell_length_a 3.7140
_cell_length_b 3.7140
_cell_length_c 5.4961
_cell_angle_alpha 90.00
_cell_angle_beta 90.00
_cell_angle_gamma 120.00
_space_group_name_H-M_alt 'P 3 m 1'
_space_group_IT_number 156
loop_
_space_group_symop_operation_xyz
'x,y,z'
'-y,x-y,z'
'-x+y,-x,z'
'-y,-x,z'
'-x+y,y,z'
'x,x-y,z'
loop_
_atom_site_label
_atom_site_type_symbol
_atom_site_fract_x
_atom_site_fract_y
_atom_site_fract_z
In1 In 0.0000 0.0000 0.0000
Ni1 Ni 0.3333 0.6667 0.2549
Br1 Br 0.6667 0.3333 0.5156
```

***

This record from Alexandria via LeMat-Bulk describes a geometry-optimized Ir2Rh structure. The functional is GGA-PBE.

## Properties
Energy above the most stable polymorph in this dataset ... 14.3 meV/atom
Crystal system ... orthorhombic
Formation energy ... 0.00 eV/atom

The structure in CIF format:
```
data_Ir2Rh
_cell_length_a 5.471
_cell_length_b 3.851
_cell_length_c 8.206
_cell_angle_alpha 90.00
_cell_angle_beta 90.00
_cell_angle_gamma 90.00
_space_group_name_H-M_alt 'P n m a'
_space_group_IT_number 62
loop_
_space_group_symop_operation_xyz
'x,y,z'
'-x,-y,-z'
'-x+1/2,-y,z+1/2'
'x+1/2,y,-z+1/2'
'x+1/2,-y+1/2,-z+1/2'
'-x+1/2,y+1/2,z+1/2'
'-x,y+1/2,-z'
'x,-y+1/2,z'
loop_
_atom_site_label
_atom_site_type_symbol
_atom_site_fract_x
_atom_site_fract_y
_atom_site_fract_z
Ir1 Ir 0.124 0.250 0.083
Ir2 Ir 0.125 0.250 0.753
Rh1 Rh 0.125 0.250 0.415
```

***

This record from Alexandria via LeMat-Bulk describes a geometry-optimized La2MgHPb structure. The functional is GGA-PBE.

## Properties
Energy above the most stable polymorph in this dataset ... 0.0 meV/atom
Crystal system ... tetragonal

The structure in CIF format:
```
data_La2MgHPb
_cell_length_a 5.030
_cell_length_b 5.030
_cell_length_c 4.810
_cell_angle_alpha 90.00
_cell_angle_beta 90.00
_cell_angle_gamma 90.00
_space_group_name_H-M_alt 'P 4/m m m'
_space_group_IT_number 123
_space_group_name_Hall '-P 4 2'
loop_
_atom_site_label
_atom_site_type_symbol
_atom_site_fract_x
_atom_site_fract_y
_atom_site_fract_z
La1 La 0.000 0.500 0.000
Mg1 Mg 0.000 0.000 0.500
H1 H 0.000 0.000 0.000
Pb1 Pb 0.500 0.500 0.500
```

***

This record from Alexandria via LeMat-Bulk describes a geometry-optimized TePt2Rh structure. The functional is GGA-PBE.

## Properties
Energy above the most stable polymorph in this dataset ... 62.4 meV/atom
Crystal system ... monoclinic
E_form (uncorrected) ... 4.1 kJ/mol of atoms

The structure in CIF format:
```
data_TePt2Rh
_cell_length_a 3.498
_cell_length_b 3.468
_cell_length_c 5.700
_cell_angle_alpha 90.00
_cell_angle_beta 91.14
_cell_angle_gamma 90.00
_space_group_name_H-M_alt 'P 1 m 1'
_space_group_IT_number 6
loop_
_space_group_symop_operation_xyz
'x,y,z'
'x,-y,z'
loop_
_atom_site_label
_atom_site_type_symbol
_atom_site_fract_x
_atom_site_fract_y
_atom_site_fract_z
Te1 Te 0.000 0.000 0.000
Pt1 Pt 0.019 0.000 0.482
Pt2 Pt 0.522 0.500 0.706
Rh1 Rh 0.509 0.500 0.226
```

***

This record from Alexandria via LeMat-Bulk describes a geometry-optimized Pm12Ho5Er structure. The functional is GGA-PBE.

## Properties
Crystal system ... monoclinic
Formation energy ... 0.11 eV/atom

The structure in CIF format:
```
data_Pm12Ho5Er
_cell_length_a 11.170
_cell_length_b 17.968
_cell_length_c 5.972
_cell_angle_alpha 90.00
_cell_angle_beta 90.01
_cell_angle_gamma 90.00
_space_group_name_H-M_alt 'C 1 2/m 1'
_space_group_IT_number 12
loop_
_space_group_symop_operation_xyz
'x,y,z'
'-x,-y,-z'
'-x,y,-z'
'x,-y,z'
'x+1/2,y+1/2,z'
'-x+1/2,-y+1/2,-z'
'-x+1/2,y+1/2,-z'
'x+1/2,-y+1/2,z'
loop_
_atom_site_label
_atom_site_type_symbol
_atom_site_fract_x
_atom_site_fract_y
_atom_site_fract_z
Pm1 Pm 0.160 0.000 0.495
Pm2 Pm 0.161 0.500 0.005
Pm3 Pm 0.162 0.166 0.006
Pm4 Pm 0.162 0.334 0.495
Ho1 Ho 0.000 0.000 0.000
Ho2 Ho 0.000 0.168 0.500
Ho3 Ho 0.000 0.333 0.000
Er1 Er 0.000 0.500 0.500
```

***

This record from Alexandria via LeMat-Bulk describes a geometry-optimized VCdNi4 structure. The functional is GGA-PBE.

## Properties
Crystal system ... cubic
Formation energy ... 0.01 eV/atom

The structure in CIF format:
```
data_VCdNi4
_cell_length_a 6.744
_cell_length_b 6.744
_cell_length_c 6.744
_cell_angle_alpha 90.00
_cell_angle_beta 90.00
_cell_angle_gamma 90.00
_space_group_name_H-M_alt 'F -4 3 m'
_space_group_IT_number 216
_space_group_name_Hall 'F -4 2 3'
loop_
_atom_site_label
_atom_site_type_symbol
_atom_site_fract_x
_atom_site_fract_y
_atom_site_fract_z
V1 V 0.000 0.000 0.000
Cd1 Cd 0.250 0.250 0.250
Ni1 Ni 0.125 0.125 0.625
```

***

This record from Alexandria via LeMat-Bulk describes a geometry-optimized Ba5Sr4Li structure. The functional is GGA-PBE.

## Properties
Energy above the most stable polymorph in this dataset ... 75.2 meV/atom
Crystal system ... tetragonal
Formation energy ... 0.09 eV/atom

The structure in CIF format:
```
data_Ba5Sr4Li
_cell_length_a 13.345
_cell_length_b 13.345
_cell_length_c 6.522
_cell_angle_alpha 90.00
_cell_angle_beta 90.00
_cell_angle_gamma 90.00
_space_group_name_H-M_alt 'I 4 m m'
_space_group_IT_number 107
_space_group_name_Hall 'I 4 -2'
loop_
_atom_site_label
_atom_site_type_symbol
_atom_site_fract_x
_atom_site_fract_y
_atom_site_fract_z
Ba1 Ba 0.000 0.000 0.000
Ba2 Ba 0.177 0.177 0.489
Sr1 Sr 0.000 0.338 0.987
Li1 Li 0.000 0.000 0.505
```

***

This record from Alexandria via LeMat-Bulk describes a geometry-optimized BaTaTe2 structure. The functional is GGA-PBE.

## Properties
Energy above the most stable polymorph in this dataset ... 699.7 meV/atom
Crystal system ... tetragonal
E_form (uncorrected) ... 19.5 kJ/mol of atoms

The structure in CIF format:
```
data_BaTaTe2
_cell_length_a 4.592
_cell_length_b 4.592
_cell_length_c 11.730
_cell_angle_alpha 90.00
_cell_angle_beta 90.00
_cell_angle_gamma 90.00
_space_group_name_H-M_alt 'I -4 m 2'
_space_group_IT_number 119
_space_group_name_Hall 'I -4 -2'
loop_
_atom_site_label
_atom_site_type_symbol
_atom_site_fract_x
_atom_site_fract_y
_atom_site_fract_z
Ba1 Ba 0.000 0.000 0.000
Ta1 Ta 0.000 0.500 0.750
Te1 Te 0.000 0.000 0.500
Te2 Te 0.000 0.500 0.250
```

***

This record from Alexandria via LeMat-Bulk describes a geometry-optimized Be2SnMo structure. The functional is GGA-PBE.

## Properties
Crystal system ... tetragonal
Formation energy ... 0.61 eV/atom

The structure in CIF format:
```
data_Be2SnMo
_cell_length_a 6.661
_cell_length_b 6.661
_cell_length_c 5.359
_cell_angle_alpha 90.00
_cell_angle_beta 90.00
_cell_angle_gamma 90.00
_space_group_name_H-M_alt 'I -4 2 d'
_space_group_IT_number 122
_space_group_name_Hall 'I -4 2bw'
loop_
_atom_site_label
_atom_site_type_symbol
_atom_site_fract_x
_atom_site_fract_y
_atom_site_fract_z
Be1 Be 0.237 0.250 0.125
Sn1 Sn 0.000 0.000 0.500
Mo1 Mo 0.000 0.000 0.000
```

***

This record from Alexandria via LeMat-Bulk describes a geometry-optimized TbNdAlRh structure. The functional is GGA-PBE.

## Properties
Crystal system ... cubic
Formation energy ... -0.46 eV/atom

The structure in CIF format:
```
data_TbNdAlRh
_cell_length_a 7.193
_cell_length_b 7.193
_cell_length_c 7.193
_cell_angle_alpha 90.00
_cell_angle_beta 90.00
_cell_angle_gamma 90.00
_space_group_name_H-M_alt 'F -4 3 m'
_space_group_IT_number 216
_space_group_name_Hall 'F -4 2 3'
loop_
_atom_site_label
_atom_site_type_symbol
_atom_site_fract_x
_atom_site_fract_y
_atom_site_fract_z
Tb1 Tb 0.000 0.000 0.000
Nd1 Nd 0.000 0.000 0.500
Al1 Al 0.250 0.250 0.250
Rh1 Rh 0.250 0.250 0.750
```

***

This record from Alexandria via LeMat-Bulk describes a geometry-optimized Lu2TiIn structure. The functional is GGA-PBE.

## Properties
Energy above the most stable polymorph in this dataset ... 102.8 meV/atom
Crystal system ... trigonal
Formation energy ... -0.03 eV/atom

The structure in CIF format:
```
data_Lu2TiIn
_cell_length_a 3.3365
_cell_length_b 3.3365
_cell_length_c 30.6607
_cell_angle_alpha 90.00
_cell_angle_beta 90.00
_cell_angle_gamma 120.00
_space_group_name_H-M_alt 'R -3 m'
_space_group_IT_number 166
_space_group_name_Hall '-R 3 2"'
loop_
_atom_site_label
_atom_site_type_symbol
_atom_site_fract_x
_atom_site_fract_y
_atom_site_fract_z
Lu1 Lu 0.0000 0.0000 0.2463
Ti1 Ti 0.0000 0.0000 0.5000
In1 In 0.0000 0.0000 0.0000
```

***

This record from Alexandria via LeMat-Bulk describes a geometry-optimized Li2HgGePt structure. The functional is GGA-PBE.

## Properties
Energy above the most stable polymorph in this dataset ... 717.9 meV/atom
Crystal system ... tetragonal
Formation energy ... 0.47 eV/atom

The structure in CIF format:
```
data_Li2HgGePt
_cell_length_a 4.591
_cell_length_b 4.591
_cell_length_c 4.968
_cell_angle_alpha 90.00
_cell_angle_beta 90.00
_cell_angle_gamma 90.00
_space_group_name_H-M_alt 'P 4/m m m'
_space_group_IT_number 123
_space_group_name_Hall '-P 4 2'
loop_
_atom_site_label
_atom_site_type_symbol
_atom_site_fract_x
_atom_site_fract_y
_atom_site_fract_z
Li1 Li 0.000 0.500 0.000
Hg1 Hg 0.000 0.000 0.500
Ge1 Ge 0.000 0.000 0.000
Pt1 Pt 0.500 0.500 0.500
```